[1]
Crystalline GaBi at its relaxed geometry, computed with GGA-PBE.

The space group is P2_1/m (No. 11) and the conventional cell measures 3.268, 3.357 and 10.049 Å, with angles of 90.00, 98.91 and 90.00 degrees. Symmetry generates all atoms from Ga at (0.211, 0.250, 0.420) and Bi at (0.106, 0.750, 0.162).

For the magnetic moment, the calculation gives 0.00 Bohr magnetons per cell. Its calculated formation energy is 66 meV per atom. The final energy comes out at -13.6 eV/cell.

---

[2]
Crystalline Ga3Bi2 at its relaxed geometry, computed with GGA-PBE.

The space group is R-3c (No. 167, hexagonal axes) and the conventional cell measures 7.5250, 7.5250 and 17.0407 Å, with angles of 90.00, 90.00 and 120.00 degrees. Symmetry generates all atoms from Ga at (0.0000, 0.2307, 0.2500) and Bi at (0.0000, 0.0000, 0.1009).

For the magnetic moment, the calculation gives 0.00 Bohr magnetons per cell. Its calculated formation energy is 102 meV per atom. The final energy comes out at -98.0 eV/cell.

---

[3]
Crystalline GaBi4 at its relaxed geometry, computed with GGA-PBE.

The space group is Pm-3m (No. 221) and the conventional cell measures 5.507, 5.507 and 5.507 Å, with angles of 90.00, 90.00 and 90.00 degrees. Symmetry generates all atoms from Ga at (0.000, 0.000, 0.000), Bi at (0.000, 0.000, 0.500) and Bi at (0.500, 0.500, 0.500).

For the magnetic moment, the calculation gives 0.00 Bohr magnetons per cell. Its calculated formation energy is 470 meV per atom. The final energy comes out at -16.2 eV/cell.

---

[4]
Crystalline GaBi at its relaxed geometry, computed with GGA-PBE.

The space group is Fddd (No. 70, origin choice 2) and the conventional cell measures 8.185, 9.192 and 11.418 Å, with angles of 90.00, 90.00 and 90.00 degrees. Symmetry generates all atoms from Ga at (0.042, 0.375, 0.375) and Bi at (0.125, 0.309, 0.625).

For the magnetic moment, the calculation gives 0.00 Bohr magnetons per cell. Its calculated formation energy is 119 meV per atom. The final energy comes out at -106.7 eV/cell.

---

[5]
Crystalline GaBi at its relaxed geometry, computed with GGA-PBE.

The space group is P2_1/m (No. 11) and the conventional cell measures 3.321, 4.338 and 7.538 Å, with angles of 90.00, 91.96 and 90.00 degrees. Symmetry generates all atoms from Ga at (0.228, 0.250, 0.437) and Bi at (0.442, 0.750, 0.158).

For the magnetic moment, the calculation gives 0.00 Bohr magnetons per cell. Its calculated formation energy is 78 meV per atom. The final energy comes out at -13.5 eV/cell.

---

[6]
Crystalline GaBi at its relaxed geometry, computed with GGA-PBE.

The space group is P4_2/mnm (No. 136) and the conventional cell measures 7.892, 7.892 and 4.560 Å, with angles of 90.00, 90.00 and 90.00 degrees. Symmetry generates all atoms from Ga at (0.176, 0.176, 0.000) and Bi at (0.181, 0.819, 0.000).

For the magnetic moment, the calculation gives 0.00 Bohr magnetons per cell. Its calculated formation energy is 77 meV per atom. The final energy comes out at -27.0 eV/cell.

---

[7]
Crystalline Ga3Bi at its relaxed geometry, computed with GGA-PBE.

The space group is P4mm (No. 99) and the conventional cell measures 4.004, 4.004 and 5.803 Å, with angles of 90.00, 90.00 and 90.00 degrees. Symmetry generates all atoms from Ga at (0.000, 0.000, 0.000), Ga at (0.000, 0.500, 0.354) and Bi at (0.500, 0.500, 0.766).

For the magnetic moment, the calculation gives 0.00 Bohr magnetons per cell. Its calculated formation energy is 72 meV per atom. The final energy comes out at -12.7 eV/cell.

---

[8]
Crystalline GaBi at its relaxed geometry, computed with GGA-PBE.

The space group is P6_3/m (No. 176) and the conventional cell measures 11.1357, 11.1357 and 4.6613 Å, with angles of 90.00, 90.00 and 120.00 degrees. Symmetry generates all atoms from Ga at (0.0781, 0.4122, 0.2500) and Bi at (0.0851, 0.6708, 0.2500).

For the magnetic moment, the calculation gives 0.00 Bohr magnetons per cell. Its calculated formation energy is 144 meV per atom. The final energy comes out at -39.7 eV/cell.

---

Question: magnetic moment of number 3 (GaBi4)?
Answer: 0.00 Bohr magnetons per cell

---

Question: Among the records above, which one has the lowest final energy?
Answer: number 4

---

Repeat the sixth record exactly.
Crystalline GaBi at its relaxed geometry, computed with GGA-PBE.

The space group is P4_2/mnm (No. 136) and the conventional cell measures 7.892, 7.892 and 4.560 Å, with angles of 90.00, 90.00 and 90.00 degrees. Symmetry generates all atoms from Ga at (0.176, 0.176, 0.000) and Bi at (0.181, 0.819, 0.000).

For the magnetic moment, the calculation gives 0.00 Bohr magnetons per cell. Its calculated formation energy is 77 meV per atom. The final energy comes out at -27.0 eV/cell.